1.
The following is a DFT calculation (PBE) of a geometry-optimized CaTl2ReI structure.

Summary:
Raw formation energy: 262 kJ/mol of formula units

a b c (Å): 5.293 5.293 5.732
angles (deg): 90.00 90.00 90.00
Atoms (fractional coordinates):
1 Ca 0.000 0.000 0.000
2 Tl 0.000 0.500 0.500
3 Tl 0.500 0.000 0.500
4 Re 0.500 0.500 0.500
5 I 0.500 0.500 0.000

***

2.
The following is a DFT calculation (PBE) of a geometry-optimized CaZrRe2I structure.

Summary:
Raw formation energy: 1173 kJ/mol of formula units

a b c (Å): 4.823 4.823 5.325
angles (deg): 90.00 90.00 90.00
Atoms (fractional coordinates):
1 Ca 0.000 0.000 0.000
2 Zr 0.500 0.500 0.500
3 Re 0.000 0.500 0.000
4 Re 0.500 0.000 0.000
5 I 0.000 0.000 0.500

***

3.
The following is a DFT calculation (PBE) of a geometry-optimized CaRhI structure.

Summary:
Raw formation energy: -167 kJ/mol of formula units

a b c (Å): 3.940 5.386 8.906
angles (deg): 89.33 88.84 68.65
Atoms (fractional coordinates):
1 Ca 0.071 0.339 0.176
2 Ca 0.929 0.661 0.824
3 Rh 0.216 0.078 0.901
4 Rh 0.784 0.922 0.099
5 I 0.349 0.773 0.312
6 I 0.651 0.227 0.688

***

4.
The following is a DFT calculation (PBE) of a geometry-optimized CaRhI structure.

Summary:
Raw formation energy: -141 kJ/mol of formula units

a b c (Å): 9.931 4.547 7.099
angles (deg): 90.00 90.00 90.00
Atoms (fractional coordinates):
1 Ca 0.105 0.250 0.164
2 Ca 0.395 0.750 0.664
3 Ca 0.605 0.250 0.336
4 Ca 0.895 0.750 0.836
5 Rh 0.180 0.750 0.912
6 Rh 0.320 0.250 0.412
7 Rh 0.680 0.750 0.588
8 Rh 0.820 0.250 0.088
9 I 0.149 0.250 0.702
10 I 0.351 0.750 0.202
11 I 0.649 0.250 0.798
12 I 0.851 0.750 0.298

***

5.
The following is a DFT calculation (PBE) of a geometry-optimized CaRhI2 structure.

Summary:
Energy above the most stable polymorph in this dataset: 0 kJ/mol of formula units
Raw formation energy: -157 kJ/mol of formula units

a b c (Å): 8.937 8.937 8.937
angles (deg): 141.90 141.90 54.97
Atoms (fractional coordinates):
1 Ca 0.000 0.000 0.000
2 Ca 0.750 0.250 0.500
3 Rh 0.250 0.750 0.500
4 Rh 0.500 0.500 0.000
5 I 0.175 0.625 0.050
6 I 0.375 0.425 0.550
7 I 0.575 0.125 0.950
8 I 0.875 0.825 0.450

***

6.
The following is a DFT calculation (PBE) of a geometry-optimized CaRhI structure.

Summary:
Raw formation energy: -139 kJ/mol of formula units

a b c (Å): 4.683 4.683 4.683
angles (deg): 60.00 60.00 60.00
Atoms (fractional coordinates):
1 Ca 0.000 0.000 0.000
2 Rh 0.250 0.250 0.250
3 I 0.500 0.500 0.500

***

Number 1: M_tot 0.01 μB/f.u.. Number 2: M_tot 2.66 μB/f.u.. Number 3: M_tot 0.00 μB/f.u.. Number 4: M_tot 0.00 μB/f.u.. Number 5: M_tot 1.00 μB/f.u.. Number 6: M_tot 0.00 μB/f.u..